(1)
Compound: RbCa2WC
Source: the Alexandria database
Functional: PBE
Structure: relaxed

Calculated values
Space-group type: P4/mmm, No. 123
M_tot, μB/f.u.: 1.7
Formation energy, eV per atom: 0.759
Volume, Å³/cell: 126.6
Theoretical density, g/cm³: 4.741

Lattice parameters (Å, degrees): 5.4812 5.4812 4.2141 90.00 90.00 90.00
With the nearest neighbours (Å) after each atom.
Element x y z (fractional)
Rb1 0.0000 0.0000 0.0000  8 Ca 3.46
Ca1 0.0000 0.5000 0.5000  2 C 2.74
Ca2 0.5000 0.0000 0.5000  2 C 2.74
W1 0.5000 0.5000 0.0000  2 C 2.11
C1 0.5000 0.5000 0.5000  2 W 2.11

(2)
Compound: HfMnGa2
Source: the Alexandria database
Functional: PBE
Structure: relaxed

Calculated values
Space-group type: P4/mmm, No. 123
M_tot, μB/f.u.: 2.9
Formation energy, eV per atom: -0.227
Volume, Å³/cell: 64.3
Theoretical density, g/cm³: 9.630

Lattice parameters (Å, degrees): 2.9514 2.9514 7.3813 90.00 90.00 90.00
With the nearest neighbours (Å) after each atom.
Element x y z (fractional)
Hf1 0.0000 0.0000 0.0000  8 Ga 2.92, 4 Hf 2.95
Mn1 0.0000 0.0000 0.5000  8 Ga 2.66, 4 Mn 2.95
Ga1 0.5000 0.5000 0.2770  4 Mn 2.66, 4 Hf 2.92, 4 Ga 2.95
Ga2 0.5000 0.5000 0.7230  4 Mn 2.66, 4 Hf 2.92, 4 Ga 2.95